Below is a geometry-optimized CsNa5I6 structure, with properties calculated at the PBE level.

Summary:
DOS at the Fermi energy = 0.0 states/eV/f.u.
total energy = -2.6692 eV/atom
raw formation energy = -1.2734 eV per atom
crystal system = monoclinic

CIF file:
```
data_CsNa5I6
_chemical_formula_sum 'Cs2 Na10 I12'
_symmetry_space_group_name_H-M 'C 1 2/m 1'
_symmetry_Int_Tables_number 12
_symmetry_space_group_name_Hall '-C 2y'
_cell_length_a 8.332
_cell_length_b 14.492
_cell_length_c 8.279
_cell_angle_alpha 90.00
_cell_angle_beta 110.10
_cell_angle_gamma 90.00
loop_
_atom_site_label
_atom_site_type_symbol
_atom_site_fract_x
_atom_site_fract_y
_atom_site_fract_z
_atom_site_occupancy
Cs1 Cs 0.000 0.000 0.000 1
Na1 Na 0.000 0.162 0.500 1
Na2 Na 0.000 0.330 0.000 1
Na3 Na 0.000 0.500 0.500 1
I1 I 0.226 0.317 0.740 1
I2 I 0.231 0.500 0.275 1
```